Computed, not measured: an optimized crystal structure of LaFe2Co2 at the PBEsol level of DFT.

CIF file:
```
data_LaFe2Co2
_space_group_name_H-M_alt 'I 4/m m m'
_space_group_IT_number 139
_space_group_name_Hall '-I 4 2'
_cell_length_a 3.929
_cell_length_b 3.929
_cell_length_c 9.836
_cell_angle_alpha 90.00
_cell_angle_beta 90.00
_cell_angle_gamma 90.00
loop_
_atom_site_label
_atom_site_type_symbol
_atom_site_fract_x
_atom_site_fract_y
_atom_site_fract_z
_atom_site_occupancy
La1 La 0.000 0.000 0.000 1
Fe1 Fe 0.000 0.500 0.250 1
Co1 Co 0.000 0.000 0.379 1
```

Results
**Final energy**: -7.6900 eV/atom
**Crystal system**: tetragonal
**Energy relative to the elements**: 0.059 eV/atom
**Magnetization**: 14.06 Bohr magnetons per cell
**Density of states at the Fermi level**: 0.71 states/eV/atom

Computed, not measured: an optimized crystal structure of Sr2La2FeCoO8 at the PBEsol level of DFT.

CIF file:
```
data_Sr2La2FeCoO8
_space_group_name_H-M_alt 'A m m 2'
_space_group_IT_number 38
_cell_length_a 5.341
_cell_length_b 5.340
_cell_length_c 12.479
_cell_angle_alpha 90.00
_cell_angle_beta 90.00
_cell_angle_gamma 90.00
loop_
_space_group_symop_operation_xyz
'x,y,z'
'-x,-y,z'
'-x,y,z'
'x,-y,z'
'x,y+1/2,z+1/2'
'-x,-y+1/2,z+1/2'
'-x,y+1/2,z+1/2'
'x,-y+1/2,z+1/2'
loop_
_atom_site_label
_atom_site_type_symbol
_atom_site_fract_x
_atom_site_fract_y
_atom_site_fract_z
_atom_site_occupancy
Sr1 Sr 0.000 0.000 0.000 1
Sr2 Sr 0.500 0.000 0.212 1
La1 La 0.000 0.000 0.717 1
La2 La 0.500 0.000 0.492 1
Fe1 Fe 0.500 0.000 0.858 1
Co1 Co 0.000 0.000 0.354 1
O1 O 0.000 0.000 0.198 1
O2 O 0.000 0.000 0.522 1
O3 O 0.247 0.250 0.354 1
O4 O 0.500 0.000 0.020 1
O5 O 0.500 0.000 0.678 1
```

Results
**Final energy**: -7.7508 eV/atom
**Crystal system**: orthorhombic
**Formation energy without anion corrections**: -2.53 eV/atom
**Magnetization**: 9.94 Bohr magnetons per cell
**Density of states at the Fermi level**: 0.05 states/eV/atom

What is the formula in the second record? Sr2La2FeCoO8

The lowest magnetization belongs to which entry? Sr2La2FeCoO8